No. 1
# AcPm6Nd3

A geometry-optimized AcPm6Nd3 structure (PBE-GGA, the Alexandria database).

The structure belongs to space group Cmc2_1 (No. 36); the cell edges are 13.728, 14.860 and 7.144 Å and the angles 90.00°, 90.00° and 90.00°. Symmetry generates all atoms from Ac at (0.000, 0.197, 0.000), Pm at (0.000, 0.005, 0.269), Pm at (0.000, 0.208, 0.507), Pm at (0.116, 0.390, 0.312), Pm at (0.233, 0.289, 0.717), Nd at (0.000, 0.409, 0.788) and Nd at (0.213, 0.028, 0.523).

The calculated density is 6.97 g cm⁻³. The crystal system is orthorhombic. For the calculated volume, the calculation gives 36.432 A^3/atom. For the formation energy, the calculation gives 2.0 eV per formula unit. Its total energy is -0.16495 hartree per atom. For the polymorph energy (0 for the lowest one), the calculation gives 0.000 eV per atom.

No. 2
# Pm2Mg15Cd2

A geometry-optimized Pm2Mg15Cd2 structure (PBE-GGA, the Alexandria database).

The structure belongs to space group R-3m (No. 166, hexagonal axes); the cell edges are 10.2048, 10.2048 and 15.1759 Å and the angles 90.00°, 90.00° and 120.00°. Symmetry generates all atoms from Pm at (0.0000, 0.0000, 0.1740), Mg at (0.0000, 0.3013, 0.5000), Mg at (0.0000, 0.5000, 0.0000), Mg at (0.0079, 0.5040, 0.6514) and Cd at (0.0000, 0.0000, 0.4004).

The calculated density is 3.20 g cm⁻³. The crystal system is trigonal. For the calculated volume, the calculation gives 24.012 A^3/atom. For the formation energy, the calculation gives -1.4 eV per formula unit. Its total energy is -0.07098 hartree per atom.

No. 3
# Mg6NbH16

A geometry-optimized Mg6NbH16 structure (PBE-GGA, the Alexandria database).

The structure belongs to space group Fm-3m (No. 225); the cell edges are 9.481, 9.481 and 9.481 Å and the angles 90.00°, 90.00° and 90.00°. Symmetry generates all atoms from Mg at (0.000, 0.250, 0.250), Nb at (0.000, 0.000, 0.000), H at (0.115, 0.115, 0.115) and H at (0.143, 0.143, 0.357).

The calculated density is 1.99 g cm⁻³. The crystal system is cubic. For the calculated volume, the calculation gives 9.265 A^3/atom. Its total energy is -0.11989 hartree per atom.

Repeat the third record exactly.
# Mg6NbH16

A geometry-optimized Mg6NbH16 structure (PBE-GGA, the Alexandria database).

The structure belongs to space group Fm-3m (No. 225); the cell edges are 9.481, 9.481 and 9.481 Å and the angles 90.00°, 90.00° and 90.00°. Symmetry generates all atoms from Mg at (0.000, 0.250, 0.250), Nb at (0.000, 0.000, 0.000), H at (0.115, 0.115, 0.115) and H at (0.143, 0.143, 0.357).

The calculated density is 1.99 g cm⁻³. The crystal system is cubic. For the calculated volume, the calculation gives 9.265 A^3/atom. Its total energy is -0.11989 hartree per atom.

Q: The lowest calculated density belongs to which entry?
A: Mg6NbH16